[1]
Entry from the Alexandria database: KLi2Ir after structural relaxation (GGA-PBEsol).

Properties
- energy of formation from the pure elements (meV per atom) = 401
- polymorph energy (0 for the lowest one) (eV/f.u.) = 0.00

Cell lengths 3.1675, 3.1675, 8.2362 Å; angles 90.00, 90.00, 90.00 degrees
Last column: nearest neighbours and their distance in Å.
Fractional coordinates of all 4 atoms:
K: 0.0000 0.0000 0.0000  4 K 3.17, 4 Ir 3.21, 1 Li 3.30
Li: 0.0000 0.0000 0.5988  4 Ir 2.46, 4 Li 2.70
Li: 0.5000 0.5000 0.4156  1 Ir 2.51, 4 Li 2.70
Ir: 0.5000 0.5000 0.7209  5 Li 2.46-2.51


[2]
Entry from the Alexandria database: RbAg2MoSe after structural relaxation (GGA-PBEsol).

Properties
- formation energy from raw total energies (eV/atom) = 1.186

Cell lengths 5.0202, 5.0202, 6.1359 Å; angles 90.00, 90.00, 90.00 degrees
Last column: nearest neighbours and their distance in Å.
Fractional coordinates of all 5 atoms:
Rb: 0.0000 0.0000 0.0000  2 Se 3.07
Ag: 0.0000 0.5000 0.5000  2 Se 2.51
Ag: 0.5000 0.0000 0.5000  2 Se 2.51
Mo: 0.5000 0.5000 0.0000  4 Rb 3.55, 8 Ag 3.96
Se: 0.0000 0.0000 0.5000  4 Ag 2.51


[3]
Entry from the Alexandria database: BaGa2Se2 after structural relaxation (GGA-PBEsol).

Properties
- formation energy from raw total energies (eV/atom) = -0.787

Cell lengths 5.8424, 5.8424, 5.8424 Å; angles 126.57, 126.57, 78.96 degrees
Last column: nearest neighbours and their distance in Å.
Fractional coordinates of all 5 atoms:
Ba: 0.0000 0.0000 0.0000  2 Ga 3.18, 8 Se 3.46
Ga: 0.3529 0.3529 0.0000  1 Ga 2.65, 4 Se 2.79
Ga: 0.6471 0.6471 0.0000  1 Ga 2.65, 4 Se 2.79
Se: 0.2500 0.7500 0.5000  4 Ga 2.79
Se: 0.7500 0.2500 0.5000  4 Ga 2.79


[4]
Entry from the Alexandria database: Ir4Pb after structural relaxation (GGA-PBEsol).

Properties
- energy of formation from the pure elements (meV per atom) = 396

Cell lengths 4.8573, 4.8573, 4.8573 Å; angles 99.61, 99.61, 131.77 degrees
Last column: nearest neighbours and their distance in Å.
Fractional coordinates of all 5 atoms:
Ir: 0.0990 0.3138 0.4128  9 Ir 2.64-2.92, 3 Pb 2.77-2.86
Ir: 0.3138 0.9010 0.2148  9 Ir 2.64-2.92, 3 Pb 2.77-2.86
Ir: 0.6862 0.0990 0.7852  9 Ir 2.64-2.92, 3 Pb 2.77-2.86
Ir: 0.9010 0.6862 0.5872  9 Ir 2.64-2.92, 3 Pb 2.77-2.86
Pb: 0.5000 0.5000 0.0000  12 Ir 2.77-2.86


[5]
Entry from the Alexandria database: BaCoOs2 after structural relaxation (GGA-PBEsol).

Properties
- energy of formation from the pure elements (meV per atom) = 1527
- polymorph energy (0 for the lowest one) (eV/f.u.) = 2.98

Cell lengths 3.7430, 3.7430, 5.1139 Å; angles 90.00, 90.00, 90.00 degrees
Last column: nearest neighbours and their distance in Å.
Fractional coordinates of all 4 atoms:
Ba: 0.0000 0.0000 0.0000  4 Co 2.65
Co: 0.5000 0.5000 0.0000  4 Ba 2.65
Os: 0.0000 0.5000 0.5000  4 Os 2.65
Os: 0.5000 0.0000 0.5000  4 Os 2.65


[6]
Entry from the Alexandria database: CuBiAs2Se after structural relaxation (GGA-PBEsol).

Properties
- formation energy from raw total energies (eV/atom) = 1.376

Cell lengths 5.3701, 5.3701, 5.3909 Å; angles 90.00, 90.00, 90.00 degrees
Last column: nearest neighbours and their distance in Å.
Fractional coordinates of all 5 atoms:
Cu: 0.0000 0.0000 0.0000  4 Se 3.80, 8 As 3.80
Bi: 0.5000 0.5000 0.5000  4 As 2.69, 2 Se 2.70
As: 0.0000 0.5000 0.5000  2 Bi 2.69
As: 0.5000 0.0000 0.5000  2 Bi 2.69
Se: 0.5000 0.5000 0.0000  2 Bi 2.70


[7]
Entry from the Alexandria database: ZnMoCl2 after structural relaxation (GGA-PBEsol).

Properties
- formation energy from raw total energies (eV/atom) = 0.081
- polymorph energy (0 for the lowest one) (eV/f.u.) = 0.91

Cell lengths 6.4451, 6.4451, 6.4451 Å; angles 153.93, 140.61, 47.84 degrees
Last column: nearest neighbours and their distance in Å.
Fractional coordinates of all 4 atoms:
Zn: 0.0000 0.0000 0.0000  2 Mo 2.66, 2 Zn 2.91, 2 Cl 2.92
Mo: 0.8106 0.3106 0.5000  6 Cl 2.44-2.63, 2 Zn 2.66
Cl: 0.3341 0.8341 0.5000  4 Mo 2.63, 2 Cl 2.91, 2 Zn 2.92
Cl: 0.6440 0.6440 0.0000  2 Mo 2.44


[8]
Entry from the Alexandria database: MnTl2Te after structural relaxation (GGA-PBEsol).

Properties
- formation energy from raw total energies (eV/atom) = 0.391

Cell lengths 5.9019, 5.9019, 3.2143 Å; angles 90.00, 90.00, 115.60 degrees
Last column: nearest neighbours and their distance in Å.
Fractional coordinates of all 4 atoms:
Mn: 0.0000 0.0000 0.0000  2 Te 3.14, 2 Mn 3.21, 8 Tl 3.36
Tl: 0.0000 0.5000 0.5000  4 Tl 3.14-3.21, 4 Te 3.36, 4 Mn 3.36
Tl: 0.5000 0.0000 0.5000  4 Tl 3.14-3.21, 4 Te 3.36, 4 Mn 3.36
Te: 0.5000 0.5000 0.0000  2 Mn 3.14, 2 Te 3.21, 8 Tl 3.36


[9]
Entry from the Alexandria database: Mg2InCl after structural relaxation (GGA-PBEsol).

Properties
- formation energy from raw total energies (eV/atom) = -0.419
- polymorph energy (0 for the lowest one) (eV/f.u.) = 0.19

Cell lengths 6.1012, 6.1012, 6.1012 Å; angles 149.19, 127.20, 62.39 degrees
Last column: nearest neighbours and their distance in Å.
Fractional coordinates of all 4 atoms:
Mg: 0.0000 0.0000 0.0000  4 Mg 3.14-3.24, 4 Cl 3.21, 2 In 3.22
Mg: 0.7421 0.2421 0.5000  2 Cl 2.53
In: 0.2662 0.7662 0.5000  6 Mg 3.17-3.22, 2 In 3.24, 4 Cl 3.43-3.49
Cl: 0.5561 0.5561 0.0000  2 Mg 2.53


[10]
Entry from the Alexandria database: Sr2CaFe after structural relaxation (GGA-PBEsol).

Properties
- energy of formation from the pure elements (meV per atom) = 510
- polymorph energy (0 for the lowest one) (eV/f.u.) = 0.00

Cell lengths 7.0733, 7.0733, 7.0733 Å; angles 148.95, 129.99, 60.04 degrees
Last column: nearest neighbours and their distance in Å.
Fractional coordinates of all 4 atoms:
Sr: 0.0000 0.0000 0.0000  4 Fe 3.54, 2 Ca 3.76, 4 Sr 3.78-3.79
Sr: 0.6892 0.1892 0.5000  2 Fe 3.06
Ca: 0.3136 0.8136 0.5000  2 Fe 2.90
Fe: 0.4933 0.4933 0.0000  2 Ca 2.90, 2 Sr 3.06


[11]
Entry from the Alexandria database: ZrWCl2 after structural relaxation (GGA-PBEsol).

Properties
- formation energy from raw total energies (eV/atom) = 0.083
- polymorph energy (0 for the lowest one) (eV/f.u.) = 0.00

Cell lengths 2.8669, 4.3501, 5.6228 Å; angles 90.00, 90.00, 90.00 degrees
Last column: nearest neighbours and their distance in Å.
Fractional coordinates of all 4 atoms:
Zr: 0.0000 0.0000 0.0000  4 Cl 2.60, 2 Zr 2.87
W: 0.5000 0.0000 0.5000  4 Cl 2.60, 2 W 2.87
Cl: 0.0000 0.5000 0.5000  4 W 2.60, 2 Cl 2.87
Cl: 0.5000 0.5000 0.0000  4 Zr 2.60, 2 Cl 2.87


[12]
Entry from the Alexandria database: Cu2RhSe after structural relaxation (GGA-PBEsol).

Properties
- formation energy from raw total energies (eV/atom) = 0.148

Cell lengths 4.2341, 4.2341, 4.2341 Å; angles 60.00, 60.00, 60.00 degrees
Last column: nearest neighbours and their distance in Å.
Fractional coordinates of all 4 atoms:
Cu: 0.0000 0.0000 0.0000  4 Se 2.59, 4 Cu 2.59
Cu: 0.2500 0.2500 0.2500  4 Rh 2.59, 4 Cu 2.59
Rh: 0.5000 0.5000 0.5000  4 Se 2.59, 4 Cu 2.59
Se: 0.7500 0.7500 0.7500  4 Rh 2.59, 4 Cu 2.59


[13]
Entry from the Alexandria database: Ag3PtPb after structural relaxation (GGA-PBEsol).

Properties
- energy of formation from the pure elements (meV per atom) = 667
- polymorph energy (0 for the lowest one) (eV/f.u.) = 0.00

Cell lengths 4.9915, 4.9915, 4.9915 Å; angles 90.00, 90.00, 90.00 degrees
Last column: nearest neighbours and their distance in Å.
Fractional coordinates of all 5 atoms:
Ag: 0.0000 0.0000 0.5000  2 Pt 2.50
Ag: 0.0000 0.5000 0.0000  2 Pt 2.50
Ag: 0.5000 0.0000 0.0000  2 Pt 2.50
Pt: 0.0000 0.0000 0.0000  6 Ag 2.50
Pb: 0.5000 0.5000 0.5000  12 Ag 3.53


[14]
Entry from the Alexandria database: RbCa3W after structural relaxation (GGA-PBEsol).

Properties
- energy of formation from the pure elements (meV per atom) = 2072

Cell lengths 5.4378, 5.4378, 5.4378 Å; angles 90.00, 90.00, 90.00 degrees
Last column: nearest neighbours and their distance in Å.
Fractional coordinates of all 5 atoms:
Rb: 0.0000 0.0000 0.0000  6 Ca 2.72
Ca: 0.0000 0.0000 0.5000  2 Rb 2.72
Ca: 0.0000 0.5000 0.0000  2 Rb 2.72
Ca: 0.5000 0.0000 0.0000  2 Rb 2.72
W: 0.5000 0.5000 0.5000  12 Ca 3.85


[15]
Entry from the Alexandria database: RePtN after structural relaxation (GGA-PBEsol).

Properties
- formation energy from raw total energies (eV/atom) = -0.109

Cell lengths 2.7746, 2.7746, 5.5223 Å; angles 90.00, 90.00, 120.00 degrees
Last column: nearest neighbours and their distance in Å.
Fractional coordinates of all 3 atoms:
Re: 0.0000 0.0000 0.0000  3 N 2.03
Pt: 0.6667 0.3333 0.6000  1 N 2.06
N: 0.6667 0.3333 0.2272  3 Re 2.03, 1 Pt 2.06


[16]
Entry from the Alexandria database: LiHSe3 after structural relaxation (GGA-PBEsol).

Properties
- total DFT energy (no corrections) (eV per atom) = -3.14

Cell lengths 4.3332, 4.3332, 4.3332 Å; angles 90.00, 90.00, 90.00 degrees
Last column: nearest neighbours and their distance in Å.
Fractional coordinates of all 5 atoms:
Li: 0.0000 0.0000 0.0000  12 Se 3.06
H: 0.5000 0.5000 0.5000  6 Se 2.17
Se: 0.0000 0.5000 0.5000  2 H 2.17
Se: 0.5000 0.0000 0.5000  2 H 2.17
Se: 0.5000 0.5000 0.0000  2 H 2.17


[17]
Entry from the Alexandria database: ZnSi2GeAs after structural relaxation (GGA-PBEsol).

Properties
- formation energy from raw total energies (eV/atom) = 0.876

Cell lengths 4.7511, 4.7511, 4.6325 Å; angles 90.00, 90.00, 90.00 degrees
Last column: nearest neighbours and their distance in Å.
Fractional coordinates of all 5 atoms:
Zn: 0.0000 0.0000 0.0000  2 As 2.32
Si: 0.0000 0.5000 0.5000  2 As 2.38
Si: 0.5000 0.0000 0.5000  2 As 2.38
Ge: 0.5000 0.5000 0.0000  8 Si 3.32, 4 Zn 3.36
As: 0.0000 0.0000 0.5000  2 Zn 2.32, 4 Si 2.38


[18]
Entry from the Alexandria database: Al3Re after structural relaxation (GGA-PBEsol).

Properties
- energy of formation from the pure elements (meV per atom) = -17

Cell lengths 8.8344, 8.8344, 8.8344 Å; angles 18.54, 18.54, 18.54 degrees
Last column: nearest neighbours and their distance in Å.
Fractional coordinates of all 4 atoms:
Al: 0.0000 0.0000 0.0000  12 Al 2.81-2.85
Al: 0.2460 0.2460 0.2460  3 Re 2.64, 9 Al 2.81-2.85
Al: 0.7540 0.7540 0.7540  3 Re 2.64, 9 Al 2.81-2.85
Re: 0.5000 0.5000 0.5000  6 Al 2.64, 6 Re 2.85


[19]
Entry from the Alexandria database: LiNiO3 after structural relaxation (GGA-PBEsol).

Properties
- formation energy from raw total energies (eV/atom) = -0.577

Cell lengths 3.6581, 3.6581, 3.6581 Å; angles 90.00, 90.00, 90.00 degrees
Last column: nearest neighbours and their distance in Å.
Fractional coordinates of all 5 atoms:
Li: 0.0000 0.0000 0.0000  12 O 2.59
Ni: 0.5000 0.5000 0.5000  6 O 1.83
O: 0.0000 0.5000 0.5000  2 Ni 1.83
O: 0.5000 0.0000 0.5000  2 Ni 1.83
O: 0.5000 0.5000 0.0000  2 Ni 1.83


[20]
Entry from the Alexandria database: IrRuPt2 after structural relaxation (GGA-PBEsol).

Properties
- energy of formation from the pure elements (meV per atom) = -40
- polymorph energy (0 for the lowest one) (eV/f.u.) = 0.00

Cell lengths 2.7137, 2.7137, 7.7946 Å; angles 90.00, 90.00, 90.00 degrees
Last column: nearest neighbours and their distance in Å.
Fractional coordinates of all 4 atoms:
Ir: 0.0000 0.0000 0.0000  4 Ru 2.61, 4 Ir 2.71, 4 Pt 2.78
Ru: 0.5000 0.5000 0.7723  4 Ir 2.61, 4 Ru 2.71, 4 Pt 2.73
Pt: 0.0000 0.0000 0.5234  8 Pt 2.71-2.83, 4 Ru 2.73
Pt: 0.5000 0.5000 0.2572  8 Pt 2.71-2.83, 4 Ir 2.78